# TmB2Rh3 | Alexandria | GGA-PBEsol | relaxed
# - Uncorrected energy: -0.2938 hartree per atom
data_TmB2Rh3
_chemical_formula_sum 'Tm1 B2 Rh3'
_symmetry_space_group_name_H-M 'P 6/m m m'
_symmetry_Int_Tables_number 191
_symmetry_space_group_name_Hall '-P 6 2'
_cell_length_a 5.3220
_cell_length_b 5.3220
_cell_length_c 3.0982
_cell_angle_alpha 90.00
_cell_angle_beta 90.00
_cell_angle_gamma 120.00
loop_
_atom_site_label
_atom_site_fract_x
_atom_site_fract_y
_atom_site_fract_z
_atom_site_occupancy
Tm1 0.0000 0.0000 0.0000 1
B1 0.3333 0.6667 0.0000 1
Rh1 0.0000 0.5000 0.5000 1